1.
An optimized crystal structure of InCuOs2. Source: the Alexandria database, functional GGA-PBE.

Calculated values
DOS(E_F): 2.88 states/eV/cell
Space-group type: R-3m (166)
Energy of formation from the pure elements: 0.5973 eV/atom

Cell: 8.9495 8.9495 8.9495 Å, 18.25 18.25 18.25°
Element x y z (fractional)
Cu 0.2500 0.2500 0.2500
In 0.7500 0.7500 0.7500
Os 0.9947 0.9947 0.9947
Os 0.5053 0.5053 0.5053


2.
An optimized crystal structure of Pr8Y2Th. Source: the Alexandria database, functional GGA-PBE.

Calculated values
DOS(E_F): 17.58 states/eV/cell
Space-group type: C2/m (12)
Energy of formation from the pure elements: 0.0330 eV/atom

Cell: 5.2020 8.2339 9.7311 Å, 104.76 105.50 90.00°
Element x y z (fractional)
Pr 0.5910 0.4514 0.1819
Pr 0.3198 0.0892 0.6395
Pr 0.1349 0.1814 0.2698
Pr 0.0451 0.7347 0.0901
Pr 0.8651 0.8186 0.7302
Pr 0.6802 0.9108 0.3605
Pr 0.4090 0.5486 0.8181
Pr 0.9549 0.2653 0.9099
Y 0.2276 0.6350 0.4552
Y 0.7724 0.3650 0.5448
Th 0.5000 0.0000 0.0000


no.,size of the total moment (μB/f.u.)
1,0.0
2,0.0